No. 1
VASP calculation (GGA-PBE) on a geometry-optimized RbAuNF2 structure.

Calculated values
**Space group**: P4/mmm
**ΔE_f (raw)**: 11.905 kcal/mol of atoms

a b c (Å): 5.138 5.138 5.344
angles (deg): 90.00 90.00 90.00
Last column: magnetic moment on the atom in μB.
Fractional positions:
N1 0.000 0.000 0.500  1.88
Au1 0.500 0.500 0.500  -0.04
Rb1 0.000 0.000 0.000  0.06
F1 0.000 0.500 0.000  0.13
F2 0.500 0.000 0.000  0.13



No. 2
VASP calculation (GGA-PBE) on a geometry-optimized InSbAs structure.

Calculated values
**Space group**: Fmm2
**ΔE_f (raw)**: 4.935 kcal/mol of atoms

a b c (Å): 7.835 7.583 3.342
angles (deg): 81.75 73.28 24.97
Fractional positions:
Sb1 0.352 0.352 0.648
As1 0.993 0.993 0.007
In1 0.656 0.656 0.344



No. 3
VASP calculation (GGA-PBE) on a geometry-optimized InHg2N2 structure.

Calculated values
**Space group**: P-3m1
**ΔE_f (raw)**: 28.033 kcal/mol of atoms

a b c (Å): 3.038 3.038 11.194
angles (deg): 90.00 90.00 120.00
Fractional positions:
In1 0.000 0.000 0.000
Hg1 0.667 0.333 0.261
Hg2 0.333 0.667 0.739
N1 0.667 0.333 0.479
N2 0.333 0.667 0.521



No. 4
VASP calculation (GGA-PBE) on a geometry-optimized Th3TlCo structure.

Calculated values
**Space group**: Pm-3m
**Calculated formation energy**: -0.1236 eV/atom

a b c (Å): 5.279 5.279 5.279
angles (deg): 90.00 90.00 90.00
Fractional positions:
Tl1 0.500 0.500 0.500
Co1 0.000 0.000 0.000
Th1 0.000 0.500 0.000
Th2 0.000 0.000 0.500
Th3 0.500 0.000 0.000



no.,E (eV/f.u.)
1,-13.732
2,-10.868
3,-13.915
4,-32.350